No. 1
A plane-wave DFT calculation with GGA-PBE was carried out for a relaxed LiDy3Th3Se8 crystal.

abc: 8.1858 8.1859 8.2706
angles: 119.66 90.00 120.00
Closest atoms and distances in Å follow each position.
Sites, in units of the cell vectors:
Li 0.0000 0.0000 0.5000  6 Se 2.86
Se 0.2528 0.0068 0.2607  1 Li 2.86, 2 Dy 2.87, 2 Th 2.95
Th 0.0000 0.0000 0.0000  6 Se 2.95-2.97
Dy 0.5000 0.0000 0.5000  6 Se 2.85-2.87
Dy 0.0000 0.5000 0.5000  6 Se 2.85-2.87
Se 0.2460 0.4920 0.7392  1 Li 2.86, 2 Dy 2.87, 2 Th 2.95
Se 0.2461 0.9932 0.7393  1 Li 2.86, 2 Dy 2.87, 2 Th 2.95
Se 0.7450 0.4899 0.7349  3 Dy 2.85, 3 Th 2.97
Se 0.2550 0.5101 0.2651  3 Dy 2.85, 3 Th 2.97
Se 0.7540 0.5080 0.2608  1 Li 2.86, 2 Dy 2.87, 2 Th 2.95
Se 0.7472 0.9932 0.7393  1 Li 2.86, 2 Dy 2.87, 2 Th 2.95
Dy 0.5000 0.5000 0.5000  6 Se 2.85-2.87
Th 0.5000 0.5000 0.0000  6 Se 2.95-2.97
Th 0.0000 0.5000 0.0000  6 Se 2.95-2.97
Se 0.7539 0.0068 0.2607  1 Li 2.86, 2 Dy 2.87, 2 Th 2.95

Values from the calculation:
DOS(E_F)	9.904	states/eV per cell
ΔE_f (raw)	-25.1	eV per formula unit
DFT total energy	-6.064	eV per atom
symmetry	No. 166



No. 2
A plane-wave DFT calculation with GGA-PBE was carried out for a relaxed BaLi2P crystal.

abc: 6.1199 6.1199 4.5427
angles: 68.79 68.79 117.49
Closest atoms and distances in Å follow each position.
Sites, in units of the cell vectors:
Ba 0.0000 0.5000 0.5000  4 Li 3.08, 4 P 3.18-3.26
Li 0.0000 0.0000 0.0000  2 Ba 3.08, 2 P 3.08, 4 Li 3.18-3.26
Li 0.5000 0.5000 0.0000  2 P 3.08, 2 Ba 3.08, 4 Li 3.18-3.26
P 0.5000 0.0000 0.5000  4 Li 3.08, 4 Ba 3.18-3.26

Values from the calculation:
DOS(E_F)	1.925	states/eV per cell
calculated formation energy	-15	kJ per mole of atoms
DFT total energy	-2.945	eV per atom
symmetry	No. 12



No. 3
A plane-wave DFT calculation with GGA-PBE was carried out for a relaxed DyAlZn6Cu crystal.

abc: 6.7716 8.8810 7.7763
angles: 124.82 115.81 90.00
Closest atoms and distances in Å follow each position.
Sites, in units of the cell vectors:
Zn 0.4249 0.1749 0.8499  2 Cu 2.36, 2 Al 2.54
Zn 0.0656 0.8637 0.7485  1 Cu 2.50, 2 Zn 2.59-2.73, 1 Al 2.71
Zn 0.9904 0.2404 0.9809  8 Zn 2.89-2.94, 2 Al 3.10
Zn 0.6829 0.8637 0.7485  1 Cu 2.50, 2 Zn 2.59-2.73, 1 Al 2.71
Zn 0.0656 0.3848 0.7485  1 Cu 2.50, 2 Zn 2.59-2.73, 1 Al 2.71
Zn 0.9344 0.6152 0.2515  1 Cu 2.50, 2 Zn 2.59-2.73, 1 Al 2.71
Cu 0.5000 0.0000 0.0000  6 Zn 2.36-2.50
Zn 0.3171 0.6152 0.2515  1 Cu 2.50, 2 Zn 2.59-2.73, 1 Al 2.71
Zn 0.3171 0.1363 0.2515  1 Cu 2.50, 2 Zn 2.59-2.73, 1 Al 2.71
Al 0.5000 0.0000 0.5000  6 Zn 2.54-2.71
Al 0.0000 0.0000 0.5000  6 Zn 2.54-2.71
Zn 0.6829 0.3848 0.7485  1 Cu 2.50, 2 Zn 2.59-2.73, 1 Al 2.71
Cu 0.5000 0.5000 0.0000  6 Zn 2.36-2.50
Zn 0.0096 0.7596 0.0191  8 Zn 2.89-2.94, 2 Al 3.10
Dy 0.7012 0.4512 0.4025  10 Zn 2.99-3.34, 2 Cu 3.11
Zn 0.5751 0.8251 0.1501  2 Cu 2.36, 2 Al 2.54
Dy 0.2988 0.5488 0.5975  10 Zn 2.99-3.34, 2 Cu 3.11
Zn 0.9344 0.1363 0.2515  1 Cu 2.50, 2 Zn 2.59-2.73, 1 Al 2.71

Values from the calculation:
DOS(E_F)	7.924	states/eV per cell
calculated formation energy	2	kJ per mole of atoms
DFT total energy	-2.216	eV per atom
symmetry	No. 74



No. 4
A plane-wave DFT calculation with GGA-PBE was carried out for a relaxed Na2LiCuCl4 crystal.

abc: 7.7506 7.7506 8.4825
angles: 123.20 123.20 81.23
Closest atoms and distances in Å follow each position.
Sites, in units of the cell vectors:
Cl 0.2847 0.7176 0.5011  1 Cu 2.18
Na 0.5000 0.0000 0.5000  6 Cl 2.71-2.95
Cl 0.7676 0.7323 0.0316  1 Li 2.36
Cl 0.7824 0.2153 0.9989  1 Cu 2.18
Na 0.5000 0.5000 0.0000  6 Cl 2.76-2.86
Cl 0.2323 0.2676 0.5316  1 Li 2.36
Cl 0.7152 0.2824 0.4989  1 Cu 2.18
Li 0.0000 0.5000 0.5000  2 Cl 2.36
Cl 0.2324 0.2677 0.9684  1 Li 2.36
Li 0.0000 0.5000 0.0000  2 Cl 2.36
Cl 0.7677 0.7324 0.4684  1 Li 2.36
Cl 0.2176 0.7847 0.0011  1 Cu 2.18
Na 0.5000 0.0000 0.0000  6 Cl 2.71-2.95
Cu 0.5000 0.5000 0.5000  2 Cl 2.18
Na 0.0000 0.0000 0.5000  6 Cl 2.76-2.86
Cu 0.0000 0.0000 0.0000  2 Cl 2.18

Values from the calculation:
DOS(E_F)	0.000	states/eV per cell
ΔE_f (raw)	-11.2	eV per formula unit
DFT total energy	-3.405	eV per atom
symmetry	No. 74



No. 5
A plane-wave DFT calculation with GGA-PBE was carried out for a relaxed NaPaGaBr6 crystal.

abc: 7.6187 7.6187 13.0482
angles: 90.00 90.00 120.00
Closest atoms and distances in Å follow each position.
Sites, in units of the cell vectors:
Pa 0.3333 0.6667 0.7500  6 Br 2.82
Br 0.3294 0.3602 0.8726  1 Pa 2.82, 1 Na 3.12, 1 Ga 3.12
Br 0.6706 0.0308 0.3726  1 Pa 2.82, 1 Na 3.12, 1 Ga 3.12
Br 0.9692 0.3294 0.1274  1 Pa 2.82, 1 Na 3.12, 1 Ga 3.12
Pa 0.6667 0.3333 0.2500  6 Br 2.82
Br 0.0308 0.6706 0.8726  1 Pa 2.82, 1 Na 3.12, 1 Ga 3.12
Br 0.0308 0.3602 0.6274  1 Pa 2.82, 1 Na 3.12, 1 Ga 3.12
Ga 0.6667 0.3333 0.7500  6 Br 3.12
Br 0.9692 0.6398 0.3726  1 Pa 2.82, 1 Na 3.12, 1 Ga 3.12
Na 0.0000 0.0000 0.0000  6 Br 3.12
Ga 0.3333 0.6667 0.2500  6 Br 3.12
Br 0.6706 0.6398 0.1274  1 Pa 2.82, 1 Na 3.12, 1 Ga 3.12
Br 0.3602 0.3294 0.3726  1 Pa 2.82, 1 Na 3.12, 1 Ga 3.12
Na 0.0000 0.0000 0.5000  6 Br 3.12
Br 0.3294 0.9692 0.6274  1 Pa 2.82, 1 Na 3.12, 1 Ga 3.12
Br 0.6398 0.6706 0.6274  1 Pa 2.82, 1 Na 3.12, 1 Ga 3.12
Br 0.6398 0.9692 0.8726  1 Pa 2.82, 1 Na 3.12, 1 Ga 3.12
Br 0.3602 0.0308 0.1274  1 Pa 2.82, 1 Na 3.12, 1 Ga 3.12

Values from the calculation:
DOS(E_F)	1.396	states/eV per cell
ΔE_f (raw)	-11.6	eV per formula unit
DFT total energy	-3.942	eV per atom
symmetry	No. 163



No. 6
A plane-wave DFT calculation with GGA-PBE was carried out for a relaxed Sr3LiGa3 crystal.

abc: 4.9244 6.1050 15.0965
angles: 87.44 80.61 66.21
Closest atoms and distances in Å follow each position.
Sites, in units of the cell vectors:
Sr 0.2456 0.2799 0.2290  6 Ga 3.33-3.44
Ga 0.9062 0.1080 0.0796  2 Ga 2.59-2.64
Sr 0.5410 0.2977 0.6203  4 Li 3.26-3.51, 7 Ga 3.46-3.53
Li 0.2441 0.9203 0.5916  4 Ga 2.85-2.97
Ga 0.0938 0.8920 0.9204  2 Ga 2.59-2.64
Sr 0.6082 0.7096 0.0739  7 Ga 3.32-3.53
Ga 0.8800 0.6968 0.5432  1 Ga 2.52
Ga 0.1200 0.3032 0.4568  1 Ga 2.52
Ga 0.0538 0.1212 0.7712  1 Ga 2.59, 1 Li 2.88
Ga 0.9462 0.8788 0.2288  1 Ga 2.59, 1 Li 2.88
Sr 0.3918 0.2904 0.9261  7 Ga 3.32-3.53
Sr 0.7544 0.7201 0.7710  6 Ga 3.33-3.44
Sr 0.4590 0.7023 0.3797  4 Li 3.26-3.51, 7 Ga 3.46-3.53
Li 0.7559 0.0797 0.4084  4 Ga 2.85-2.97

Values from the calculation:
DOS(E_F)	9.383	states/eV per cell
calculated formation energy	-34	kJ per mole of atoms
DFT total energy	-2.641	eV per atom
symmetry	No. 12



No. 7
A plane-wave DFT calculation with GGA-PBE was carried out for a relaxed CsAg3Sn crystal.

abc: 5.4482 5.4482 5.4482
angles: 90.00 90.00 90.00
Closest atoms and distances in Å follow each position.
Sites, in units of the cell vectors:
Ag 0.0000 0.0000 0.5000  2 Sn 2.72
Sn 0.0000 0.0000 0.0000  6 Ag 2.72
Cs 0.5000 0.5000 0.5000  12 Ag 3.85
Ag 0.5000 0.0000 0.0000  2 Sn 2.72
Ag 0.0000 0.5000 0.0000  2 Sn 2.72

Values from the calculation:
DOS(E_F)	0.001	states/eV per cell
calculated formation energy	5	kJ per mole of atoms
excess energy over the best structure of this formula in the dataset	0.000	eV per atom
DFT total energy	-2.635	eV per atom
symmetry	No. 221



No. 8
A plane-wave DFT calculation with GGA-PBE was carried out for a relaxed MnNiIr2 crystal.

abc: 6.6049 6.6049 5.3713
angles: 52.06 52.06 90.00
Closest atoms and distances in Å follow each position.
Sites, in units of the cell vectors:
Ni 0.0000 0.0000 0.0000  4 Ir 2.48, 2 Mn 2.65
Ir 0.6130 0.1250 0.2500  2 Mn 2.37, 2 Ni 2.48, 2 Ir 2.66
Ni 0.7500 0.2500 0.5000  4 Ir 2.48, 2 Mn 2.65
Ir 0.8750 0.8630 0.7500  2 Mn 2.37, 2 Ni 2.48, 2 Ir 2.66
Ir 0.1370 0.6250 0.2500  2 Mn 2.37, 2 Ni 2.48, 2 Ir 2.66
Mn 0.5000 0.5000 0.0000  4 Ir 2.37, 2 Ni 2.65
Mn 0.2500 0.7500 0.5000  4 Ir 2.37, 2 Ni 2.65
Ir 0.3750 0.3870 0.7500  2 Mn 2.37, 2 Ni 2.48, 2 Ir 2.66

Values from the calculation:
DOS(E_F)	9.454	states/eV per cell
calculated formation energy	47	kJ per mole of atoms
DFT total energy	-7.681	eV per atom
symmetry	No. 122



No. 9
A plane-wave DFT calculation with GGA-PBE was carried out for a relaxed Sc2CuW crystal.

abc: 4.6564 4.6564 4.6564
angles: 60.00 60.00 60.00
Closest atoms and distances in Å follow each position.
Sites, in units of the cell vectors:
Sc 0.7500 0.7500 0.7500  4 W 2.85, 4 Cu 2.85
Cu 0.0000 0.0000 0.0000  8 Sc 2.85
Sc 0.2500 0.2500 0.2500  4 W 2.85, 4 Cu 2.85
W 0.5000 0.5000 0.5000  8 Sc 2.85

Values from the calculation:
DOS(E_F)	4.544	states/eV per cell
calculated formation energy	21	kJ per mole of atoms
excess energy over the best structure of this formula in the dataset	0.153	eV per atom
DFT total energy	-7.209	eV per atom
symmetry	No. 225



No. 10
A plane-wave DFT calculation with GGA-PBE was carried out for a relaxed LiIn2Ir2 crystal.

abc: 7.7649 7.7649 3.0524
angles: 90.00 90.00 90.00
Closest atoms and distances in Å follow each position.
Sites, in units of the cell vectors:
In 0.1510 0.3490 0.0000  6 Ir 2.70-2.77, 2 Li 2.95
In 0.8490 0.6510 0.0000  6 Ir 2.70-2.77, 2 Li 2.95
Ir 0.8534 0.3534 0.5000  6 In 2.70-2.77
Ir 0.1466 0.6466 0.5000  6 In 2.70-2.77
Li 0.0000 0.0000 0.0000  4 In 2.95, 2 Li 3.05
Ir 0.3534 0.1466 0.5000  6 In 2.70-2.77
In 0.3490 0.8490 0.0000  6 Ir 2.70-2.77, 2 Li 2.95
Ir 0.6466 0.8534 0.5000  6 In 2.70-2.77
In 0.6510 0.1510 0.0000  6 Ir 2.70-2.77, 2 Li 2.95
Li 0.5000 0.5000 0.0000  4 In 2.95, 2 Li 3.05

Values from the calculation:
DOS(E_F)	2.820	states/eV per cell
calculated formation energy	-10	kJ per mole of atoms
excess energy over the best structure of this formula in the dataset	0.034	eV per atom
DFT total energy	-5.124	eV per atom
symmetry	No. 127



No. 11
A plane-wave DFT calculation with GGA-PBE was carried out for a relaxed SrHf2SnP crystal.

abc: 5.3855 5.4483 5.3855
angles: 90.00 90.00 90.00
Closest atoms and distances in Å follow each position.
Sites, in units of the cell vectors:
Hf 0.5000 0.0000 0.0000  2 Sn 2.69
P 0.0000 0.5000 0.0000  2 Sn 2.72
Hf 0.0000 0.0000 0.5000  2 Sn 2.69
Sn 0.0000 0.0000 0.0000  4 Hf 2.69, 2 P 2.72
Sr 0.5000 0.5000 0.5000  4 P 3.81, 8 Hf 3.83

Values from the calculation:
DOS(E_F)	2.595	states/eV per cell
calculated formation energy	85	kJ per mole of atoms
DFT total energy	-5.318	eV per atom
symmetry	No. 123



No. 12
A plane-wave DFT calculation with GGA-PBE was carried out for a relaxed Mg2TiCl crystal.

abc: 7.8698 7.8698 6.2666
angles: 51.10 51.10 90.00
Closest atoms and distances in Å follow each position.
Sites, in units of the cell vectors:
Cl 0.2500 0.7500 0.5000  4 Mg 2.67, 2 Ti 2.88
Mg 0.5854 0.1250 0.2500  2 Cl 2.67, 2 Mg 2.95
Mg 0.3750 0.4146 0.7500  2 Cl 2.67, 2 Mg 2.95
Ti 0.7500 0.2500 0.5000  2 Cl 2.88, 4 Mg 3.10
Mg 0.1646 0.6250 0.2500  2 Cl 2.67, 2 Mg 2.95
Mg 0.8750 0.8354 0.7500  2 Cl 2.67, 2 Mg 2.95
Ti 0.0000 0.0000 0.0000  2 Cl 2.88, 4 Mg 3.10
Cl 0.5000 0.5000 0.0000  4 Mg 2.67, 2 Ti 2.88

Values from the calculation:
DOS(E_F)	6.126	states/eV per cell
ΔE_f (raw)	0.3	eV per formula unit
excess energy over the best structure of this formula in the dataset	0.000	eV per atom
DFT total energy	-3.165	eV per atom
symmetry	No. 122